A relaxed CaTcRu2 crystal. Source: Alexandria, functional PBE.

It has space group I-42d (No. 122), with a = 7.293 Å, b = 7.293 Å, c = 5.745 Å, α = 90.00°, β = 90.00° and γ = 90.00°. Symmetry generates all atoms from Ca at (0.000, 0.000, 0.000), Tc at (0.000, 0.000, 0.500) and Ru at (0.191, 0.250, 0.625).

The value obtained for the calculated volume is 19.1 A^3/atom. The raw total energy comes out at -7.121 eV/atom. The density comes out at 7.39 g/cm3. The energy relative to the lowest polymorph listed for this composition is 322 meV per atom. The formation energy comes out at 0.61 eV/atom.